Here is a relaxed AgAu2Cl crystal from the Alexandria database. Energies are from GGA-PBE.

The structure in CIF format:
```
data_AgAu2Cl
_space_group_name_H-M_alt 'I -4 2 d'
_space_group_IT_number 122
_space_group_name_Hall 'I -4 2bw'
_cell_length_a 7.9830
_cell_length_b 7.9830
_cell_length_c 5.3762
_cell_angle_alpha 90.00
_cell_angle_beta 90.00
_cell_angle_gamma 90.00
loop_
_atom_site_label
_atom_site_fract_x
_atom_site_fract_y
_atom_site_fract_z
Ag1 0.0000 0.0000 0.0000
Au1 0.2390 0.2500 0.1250
Cl1 0.0000 0.0000 0.5000
```

Calculated values
Magnetic moment = 0.00 μB per formula unit
Total DFT energy (no corrections) = -2.5453 eV per atom